CaFeCo2: optimized geometry, PBE.

Cell: 4.0391 4.0391 5.5395 Å, 111.27 111.27 60.01°
With the nearest neighbours (Å) after each atom.
Positions (direct):
Ca: 0.0000 0.0000 0.0000  1 Co 2.84, 4 Fe 2.90-3.16
Fe: 0.1921 0.1921 0.5769  6 Co 2.40-2.44
Co: 0.4876 0.4876 0.4632  3 Co 2.34, 3 Fe 2.40
Co: 0.8114 0.8114 0.4345  3 Co 2.34, 3 Fe 2.44

Values from the calculation:
- formation energy (kcal/mol of atoms) = 3.8
- space-group type = Cm, No. 8
- E above lowest polymorph (meV per atom) = 10.7
- total magnetic moment (μB/f.u.) = 5.34